Material: CuTcPb2
Method: DFT, SCAN
State: single point on PBEsol structure

Summary:
- V (Å³ per cell) = 76.3
- raw total energy (eV/atom) = -49.8789
- energy relative to the elements (meV/atom) = 577

Cell: 3.6565 3.6565 5.7060 Å, 90.00 90.00 90.00°
With the nearest neighbours (Å) after each atom.
Space group P4mm (No. 99)
Inequivalent atoms, fractional coordinates:
Cu  0.0000  0.0000  0.0000  5 Pb 2.66-2.82
Tc  0.5000  0.5000  0.7285  5 Pb 2.68-2.81
Pb  0.0000  0.0000  0.5345  1 Cu 2.66, 4 Tc 2.81
Pb  0.5000  0.5000  0.1981  1 Tc 2.68, 4 Cu 2.82

Material: CuTcPb2
Method: DFT, SCAN
State: single point on PBEsol structure

Summary:
- V (Å³ per cell) = 166.2
- raw total energy (eV/atom) = -49.8997
- energy relative to the elements (meV/atom) = 556

Cell: 3.0878 4.4701 12.0385 Å, 90.00 90.00 90.00°
With the nearest neighbours (Å) after each atom.
Space group Imm2 (No. 44)
Inequivalent atoms, fractional coordinates:
Cu  0.0000  0.0000  0.0000  2 Tc 2.59
Tc  0.0000  0.5000  0.3274  2 Cu 2.59, 4 Pb 2.72
Pb  0.0000  0.0000  0.6074  4 Cu 3.01, 2 Tc 3.07, 2 Pb 3.09
Pb  0.0000  0.5000  0.8280  4 Tc 2.72